Entry 1:
Computed, not measured: a relaxed structure of Dy2Er3Tm6Sc at the GGA-PBE level of DFT. Values from VASP.

Geometry as Quantum ESPRESSO input:
```
&SYSTEM
  ibrav = 0, nat = 12, ntyp = 4
/
ATOMIC_SPECIES
Dy 162.50 Dy.upf
Er 167.26 Er.upf
Tm 168.93 Tm.upf
Sc 44.96 Sc.upf
ATOMIC_POSITIONS crystal
Dy 0.333 0.667 0.000
Dy 0.667 0.333 0.000
Er 0.166 0.834 0.500
Er 0.834 0.166 0.500
Er 0.500 0.500 0.500
Tm 0.918 0.587 0.752
Tm 0.751 0.751 0.249
Tm 0.082 0.413 0.248
Tm 0.587 0.918 0.752
Tm 0.249 0.249 0.751
Tm 0.413 0.082 0.248
Sc 0.000 0.000 0.000
CELL_PARAMETERS angstrom
-5.492 -1.383 2.059
2.633 -3.504 -4.136
5.628 -4.625 8.965
```

Raw total energy   -0.171 hartree per atom
DOS at the Fermi energy   17.22 states/eV per cell
Calculated density   8.75 Mg/m³
SG   No. 12
ΔH_f (0 K)   0.03 eV/atom



Entry 2:
Computed, not measured: a relaxed structure of Dy3ErTm6Sc2 at the GGA-PBE level of DFT. Values from VASP.

Geometry as Quantum ESPRESSO input:
```
&SYSTEM
  ibrav = 0, nat = 12, ntyp = 4
/
ATOMIC_SPECIES
Dy 162.50 Dy.upf
Er 167.26 Er.upf
Tm 168.93 Tm.upf
Sc 44.96 Sc.upf
ATOMIC_POSITIONS crystal
Dy 0.167 0.833 0.500
Dy 0.833 0.167 0.500
Dy 0.500 0.500 0.500
Er 0.000 0.000 0.000
Tm 0.918 0.583 0.756
Tm 0.746 0.746 0.244
Tm 0.082 0.417 0.244
Tm 0.583 0.918 0.756
Tm 0.254 0.254 0.756
Tm 0.417 0.082 0.244
Sc 0.333 0.667 0.000
Sc 0.667 0.333 0.000
CELL_PARAMETERS angstrom
6.007 0.002 0.001
-3.000 5.204 0.001
-1.001 -1.734 11.299
```

Raw total energy   -0.176 hartree per atom
DOS at the Fermi energy   18.00 states/eV per cell
Calculated density   8.26 Mg/m³
SG   No. 12
ΔH_f (0 K)   0.04 eV/atom